(1)
# KRe2Hg | the Alexandria database | PBE | optimized geometry
# **Electronic total energy**: -63.95 eV/cell
data_KRe2Hg
_cell_length_a 2.8502
_cell_length_b 2.8502
_cell_length_c 32.7179
_cell_angle_alpha 90.00
_cell_angle_beta 90.00
_cell_angle_gamma 120.00
_space_group_name_H-M_alt 'R -3 m'
_space_group_IT_number 166
_space_group_name_Hall '-R 3 2"'
loop_
_atom_site_label
_atom_site_fract_x
_atom_site_fract_y
_atom_site_fract_z
_atom_site_occupancy
K1 0.0000 0.0000 0.0000 1
Re1 0.0000 0.0000 0.2416 1
Hg1 0.0000 0.0000 0.5000 1

(2)
# KRe2Hg | the Alexandria database | PBE | optimized geometry
# **Electronic total energy**: -39.87 eV/cell
data_KRe2Hg
_cell_length_a 3.874
_cell_length_b 3.874
_cell_length_c 10.735
_cell_angle_alpha 90.00
_cell_angle_beta 90.00
_cell_angle_gamma 90.00
_space_group_name_H-M_alt 'I 4/m m m'
_space_group_IT_number 139
_space_group_name_Hall '-I 4 2'
loop_
_atom_site_label
_atom_site_fract_x
_atom_site_fract_y
_atom_site_fract_z
_atom_site_occupancy
K1 0.000 0.000 0.000 1
Re1 0.000 0.500 0.250 1
Hg1 0.000 0.000 0.500 1

(3)
# KRe2Hg | the Alexandria database | PBE | optimized geometry
# **Electronic total energy**: -20.11 eV/cell
data_KRe2Hg
_cell_length_a 3.594
_cell_length_b 3.594
_cell_length_c 7.609
_cell_angle_alpha 90.00
_cell_angle_beta 90.00
_cell_angle_gamma 90.00
_space_group_name_H-M_alt 'P 4/m m m'
_space_group_IT_number 123
_space_group_name_Hall '-P 4 2'
loop_
_atom_site_label
_atom_site_fract_x
_atom_site_fract_y
_atom_site_fract_z
_atom_site_occupancy
K1 0.000 0.000 0.000 1
Re1 0.500 0.500 0.349 1
Hg1 0.000 0.000 0.500 1

(4)
# KRe2Hg | the Alexandria database | PBE | optimized geometry
# **Electronic total energy**: -23.95 eV/cell
data_KRe2Hg
_cell_length_a 3.058
_cell_length_b 3.058
_cell_length_c 9.363
_cell_angle_alpha 90.00
_cell_angle_beta 90.00
_cell_angle_gamma 90.00
_space_group_name_H-M_alt 'P 4 m m'
_space_group_IT_number 99
loop_
_space_group_symop_operation_xyz
'x,y,z'
'-y,x,z'
'-x,-y,z'
'y,-x,z'
'-x,y,z'
'y,x,z'
'x,-y,z'
'-y,-x,z'
loop_
_atom_site_label
_atom_site_fract_x
_atom_site_fract_y
_atom_site_fract_z
_atom_site_occupancy
K1 0.000 0.000 0.000 1
Re1 0.000 0.000 0.543 1
Re2 0.500 0.500 0.686 1
Hg1 0.500 0.500 0.302 1